# LiSm2PaSe5 (GGA-PBE, relaxed)
# Raw formation energy ... -1549 meV/atom
# Mass density ... 7.034 Mg/m³
data_LiSm2PaSe5
_chemical_formula_sum 'Li4 Sm8 Pa4 Se20'
_cell_length_a 4.069
_cell_length_b 17.228
_cell_length_c 12.575
_cell_angle_alpha 90.00
_cell_angle_beta 90.00
_cell_angle_gamma 90.00
_symmetry_space_group_name_H-M 'C m c 21'
_symmetry_Int_Tables_number 36
loop_
_symmetry_equiv_pos_as_xyz
'x,y,z'
'-x,-y,z+1/2'
'-x,y,z'
'x,-y,z+1/2'
'x+1/2,y+1/2,z'
'-x+1/2,-y+1/2,z+1/2'
'-x+1/2,y+1/2,z'
'x+1/2,-y+1/2,z+1/2'
loop_
_atom_site_label
_atom_site_type_symbol
_atom_site_fract_x
_atom_site_fract_y
_atom_site_fract_z
_atom_site_occupancy
Li1 Li 0.000 0.020 0.000 1
Sm1 Sm 0.000 0.372 0.826 1
Sm2 Sm 0.000 0.392 0.218 1
Pa1 Pa 0.000 0.299 0.536 1
Se1 Se 0.000 0.003 0.309 1
Se2 Se 0.000 0.134 0.531 1
Se3 Se 0.000 0.188 0.874 1
Se4 Se 0.000 0.214 0.197 1
Se5 Se 0.000 0.452 0.599 1



# RbPb2W (GGA-PBE, relaxed)
# Formation energy ... 1.13 eV per atom
# Mass density ... 10.279 Mg/m³
# Distance to the lowest polymorph of the same formula ... 264 meV per atom
data_RbPb2W
_chemical_formula_sum 'Rb4 Pb8 W4'
_cell_length_a 7.616
_cell_length_b 7.616
_cell_length_c 7.616
_cell_angle_alpha 90.00
_cell_angle_beta 90.00
_cell_angle_gamma 90.00
_symmetry_space_group_name_H-M 'F m -3 m'
_symmetry_Int_Tables_number 225
_symmetry_space_group_name_Hall '-F 4 2 3'
loop_
_atom_site_label
_atom_site_type_symbol
_atom_site_fract_x
_atom_site_fract_y
_atom_site_fract_z
_atom_site_occupancy
Rb1 Rb 0.000 0.000 0.000 1
Pb1 Pb 0.250 0.250 0.250 1
W1 W 0.000 0.000 0.500 1



# SrBeIr2 (GGA-PBE, relaxed)
# Formation energy ... 0.51 eV per atom
# Mass density ... 11.795 Mg/m³
data_SrBeIr2
_chemical_formula_sum 'Sr1 Be1 Ir2'
_cell_length_a 3.000
_cell_length_b 4.586
_cell_length_c 4.923
_cell_angle_alpha 90.00
_cell_angle_beta 90.00
_cell_angle_gamma 90.00
_symmetry_space_group_name_H-M 'P m m m'
_symmetry_Int_Tables_number 47
loop_
_symmetry_equiv_pos_as_xyz
'x,y,z'
'-x,-y,-z'
'-x,-y,z'
'x,y,-z'
'x,-y,-z'
'-x,y,z'
'-x,y,-z'
'x,-y,z'
loop_
_atom_site_label
_atom_site_type_symbol
_atom_site_fract_x
_atom_site_fract_y
_atom_site_fract_z
_atom_site_occupancy
Sr1 Sr 0.000 0.000 0.000 1
Be1 Be 0.500 0.000 0.500 1
Ir1 Ir 0.000 0.500 0.500 1
Ir2 Ir 0.500 0.500 0.000 1



# VGaCu (GGA-PBE, relaxed)
# Formation energy ... -0.07 eV per atom
# Mass density ... 7.610 Mg/m³
data_VGaCu
_chemical_formula_sum 'V2 Ga2 Cu2'
_cell_length_a 2.641
_cell_length_b 2.641
_cell_length_c 11.529
_cell_angle_alpha 90.00
_cell_angle_beta 90.00
_cell_angle_gamma 90.00
_symmetry_space_group_name_H-M 'I 4 m m'
_symmetry_Int_Tables_number 107
_symmetry_space_group_name_Hall 'I 4 -2'
loop_
_atom_site_label
_atom_site_type_symbol
_atom_site_fract_x
_atom_site_fract_y
_atom_site_fract_z
_atom_site_occupancy
V1 V 0.000 0.000 0.000 1
Ga1 Ga 0.000 0.000 0.670 1
Cu1 Cu 0.000 0.000 0.334 1



Taking the records one at a time from the top gives total moment values of 5.025, 11.173, 0.000, 0.000 μB per cell.